DFT (PBE-GGA) results for crystalline CdSb2W at its relaxed geometry.

a = 10.7176 Å, b = 10.7176 Å, c = 10.7176 Å
α = 17.82°, β = 17.82°, γ = 17.82°
Fractional coordinates of all 4 atoms:
Cd: 0.7500 0.7500 0.7500
W: 0.2500 0.2500 0.2500
Sb: 0.5191 0.5191 0.5191
Sb: 0.9809 0.9809 0.9809

Properties
As for the density: 8.90 g/cm³. The density of states at the Fermi level is 0.828 states/eV per atom. The total magnetization comes out at 0.00 μB per formula unit. The value obtained for the uncorrected formation energy is 0.325 eV per atom.

=====

DFT (PBE-GGA) results for crystalline CdSbW2 at its relaxed geometry.

a = 2.9243 Å, b = 2.9243 Å, c = 10.6442 Å
α = 90.00°, β = 90.00°, γ = 112.59°
Fractional coordinates of all 4 atoms:
W: 0.5000 0.5000 0.2190
W: 0.0000 0.0000 0.0273
Cd: 0.0000 0.0000 0.4545
Sb: 0.5000 0.5000 0.7992

Properties
As for the density: 11.89 g/cm³. The density of states at the Fermi level is 0.386 states/eV per atom. The polymorph energy (0 for the lowest one) comes out at 0.28 eV per formula unit. The total magnetization comes out at 0.00 μB per formula unit. The value obtained for the uncorrected formation energy is 0.474 eV per atom.